Entry 1:
Rb2ReB2 (GGA-PBE, relaxed); space group = I4/mmm, No. 139; total magnetization = 0.00 μB/f.u.
1.0
-1.0451 -2.2223 2.9104
-2.6910 -1.5866 -2.1778
2.3880 -6.4532 -1.5786
Rb Re B
2 1 2
direct
0.2500 0.7500 0.5000
0.7500 0.2500 0.5000
0.0000 0.0000 0.0000
0.5613 0.5613 0.8775
0.4387 0.4387 0.1225

=====

Entry 2:
Rb2ReB2 (GGA-PBE, relaxed); space group = P4/mbm, No. 127; total magnetization = 0.00 μB/f.u.
1.0
-1.1657 0.2658 6.0051
5.6541 -2.0278 1.1873
1.9636 5.5544 0.1354
Rb B Re
4 4 2
direct
0.6759 0.8241 0.5000
0.1759 0.6759 0.5000
0.3241 0.1759 0.5000
0.8241 0.3241 0.5000
0.2624 0.7624 0.0000
0.7624 0.7376 0.0000
0.7376 0.2376 0.0000
0.2376 0.2624 0.0000
0.0000 0.0000 0.0000
0.5000 0.5000 0.0000

=====

Entry 3:
RbRe2B2 (GGA-PBE, relaxed); space group = P4/mbm, No. 127; total magnetization = 0.91 μB/f.u.
1.0
7.5112 0.0000 0.0000
0.0000 7.5112 0.0000
0.0000 0.0000 2.8859
Rb B Re
2 4 4
direct
0.0000 0.0000 0.0000
0.5000 0.5000 0.0000
0.1005 0.3995 0.0000
0.6005 0.1005 0.0000
0.8995 0.6005 0.0000
0.3995 0.8995 0.0000
0.6224 0.8776 0.5000
0.8776 0.3776 0.5000
0.3776 0.1224 0.5000
0.1224 0.6224 0.5000

=====

no.,ΔH_f (0 K) (eV/atom)
1,2.10
2,1.13
3,1.18